# 1
The following is a DFT calculation (GGA-PBE) of an optimized crystal structure of Ac5PdSe4.

ΔE_f (raw): -1.630 eV per atom
SG: No. 139
crystal system: tetragonal
ρ: 8.2 g cm⁻³
VASP energy: -5.597 eV/atom

Geometry as CIF:
```
data_Ac5PdSe4
_chemical_formula_sum 'Ac5 Pd1 Se4'
_cell_length_a 16.2354
_cell_length_b 16.2354
_cell_length_c 16.2354
_cell_angle_alpha 164.21
_cell_angle_beta 164.21
_cell_angle_gamma 22.40
_symmetry_space_group_name_H-M 'P 1'
_symmetry_Int_Tables_number 1
_symmetry_space_group_name_Hall 'P 1'
loop_
_atom_site_label
_atom_site_fract_x
_atom_site_fract_y
_atom_site_fract_z
_atom_site_occupancy
Ac1 0.0000 0.0000 0.0000 1
Ac2 0.2013 0.2013 0.0000 1
Ac3 0.4007 0.4007 0.0000 1
Ac4 0.5993 0.5993 0.0000 1
Ac5 0.7987 0.7987 0.0000 1
Pd1 0.5000 0.5000 0.0000 1
Se1 0.1021 0.1021 0.0000 1
Se2 0.3013 0.3013 0.0000 1
Se3 0.6987 0.6987 0.0000 1
Se4 0.8979 0.8979 0.0000 1
```


# 2
The following is a DFT calculation (GGA-PBE) of an optimized crystal structure of NbCo2H3.

SG: No. 62
crystal system: orthorhombic
ρ: 7.6 g cm⁻³
VASP energy: -5.783 eV/atom

Geometry as CIF:
```
data_NbCo2H3
_chemical_formula_sum 'Nb4 Co8 H12'
_cell_length_a 6.6699
_cell_length_b 3.2631
_cell_length_c 8.6130
_cell_angle_alpha 90.00
_cell_angle_beta 90.00
_cell_angle_gamma 90.00
_symmetry_space_group_name_H-M 'P 1'
_symmetry_Int_Tables_number 1
_symmetry_space_group_name_Hall 'P 1'
loop_
_atom_site_label
_atom_site_fract_x
_atom_site_fract_y
_atom_site_fract_z
_atom_site_occupancy
Nb1 0.1835 0.2500 0.0949 1
Nb2 0.3165 0.7500 0.5949 1
Nb3 0.6835 0.2500 0.4051 1
Nb4 0.8165 0.7500 0.9051 1
Co1 0.0899 0.2500 0.4002 1
Co2 0.1462 0.2500 0.7819 1
Co3 0.3538 0.7500 0.2819 1
Co4 0.4101 0.7500 0.9002 1
Co5 0.5899 0.2500 0.0998 1
Co6 0.6462 0.2500 0.7181 1
Co7 0.8538 0.7500 0.2181 1
Co8 0.9101 0.7500 0.5998 1
H1 0.0166 0.7500 0.0734 1
H2 0.0741 0.7500 0.7524 1
H3 0.0893 0.7500 0.4410 1
H4 0.4107 0.2500 0.9410 1
H5 0.4259 0.2500 0.2524 1
H6 0.4834 0.2500 0.5734 1
H7 0.5166 0.7500 0.4266 1
H8 0.5741 0.7500 0.7476 1
H9 0.5893 0.7500 0.0590 1
H10 0.9107 0.2500 0.5590 1
H11 0.9259 0.2500 0.2476 1
H12 0.9834 0.2500 0.9266 1
```


# 3
The following is a DFT calculation (GGA-PBE) of an optimized crystal structure of CeMgGa4.

SG: No. 216
crystal system: cubic
ρ: 6.1 g cm⁻³
energy relative to the lowest polymorph listed for this composition: 97 meV/atom
VASP energy: -3.522 eV/atom

Geometry as CIF:
```
data_CeMgGa4
_chemical_formula_sum 'Ce1 Mg1 Ga4'
_cell_length_a 5.5537
_cell_length_b 5.5537
_cell_length_c 5.5537
_cell_angle_alpha 60.00
_cell_angle_beta 60.00
_cell_angle_gamma 60.00
_symmetry_space_group_name_H-M 'P 1'
_symmetry_Int_Tables_number 1
_symmetry_space_group_name_Hall 'P 1'
loop_
_atom_site_label
_atom_site_fract_x
_atom_site_fract_y
_atom_site_fract_z
_atom_site_occupancy
Ce1 0.0000 0.0000 0.0000 1
Mg1 0.2500 0.2500 0.2500 1
Ga1 0.1241 0.6253 0.6253 1
Ga2 0.6253 0.1241 0.6253 1
Ga3 0.6253 0.6253 0.1241 1
Ga4 0.6253 0.6253 0.6253 1
```


# 4
The following is a DFT calculation (GGA-PBE) of an optimized crystal structure of Ho2AlPb.

SG: No. 123
crystal system: tetragonal
ρ: 9.2 g cm⁻³
VASP energy: -4.510 eV/atom

Geometry as CIF:
```
data_Ho2AlPb
_chemical_formula_sum 'Ho2 Al1 Pb1'
_cell_length_a 4.8707
_cell_length_b 4.8707
_cell_length_c 4.3133
_cell_angle_alpha 90.00
_cell_angle_beta 90.00
_cell_angle_gamma 90.00
_symmetry_space_group_name_H-M 'P 1'
_symmetry_Int_Tables_number 1
_symmetry_space_group_name_Hall 'P 1'
loop_
_atom_site_label
_atom_site_fract_x
_atom_site_fract_y
_atom_site_fract_z
_atom_site_occupancy
Ho1 0.0000 0.5000 0.0000 1
Ho2 0.5000 0.0000 0.0000 1
Al1 0.0000 0.0000 0.5000 1
Pb1 0.5000 0.5000 0.5000 1
```


# 5
The following is a DFT calculation (GGA-PBE) of an optimized crystal structure of Ba2ZnCdPt.

SG: No. 123
crystal system: tetragonal
ρ: 5.5 g cm⁻³
energy relative to the lowest polymorph listed for this composition: 147 meV/atom
VASP energy: -2.734 eV/atom

Geometry as CIF:
```
data_Ba2ZnCdPt
_chemical_formula_sum 'Ba2 Zn1 Cd1 Pt1'
_cell_length_a 6.1038
_cell_length_b 6.1038
_cell_length_c 5.2722
_cell_angle_alpha 90.00
_cell_angle_beta 90.00
_cell_angle_gamma 90.00
_symmetry_space_group_name_H-M 'P 1'
_symmetry_Int_Tables_number 1
_symmetry_space_group_name_Hall 'P 1'
loop_
_atom_site_label
_atom_site_fract_x
_atom_site_fract_y
_atom_site_fract_z
_atom_site_occupancy
Ba1 0.0000 0.5000 0.0000 1
Ba2 0.5000 0.0000 0.0000 1
Zn1 0.0000 0.0000 0.5000 1
Cd1 0.5000 0.5000 0.5000 1
Pt1 0.5000 0.5000 0.0000 1
```


# 6
The following is a DFT calculation (GGA-PBE) of an optimized crystal structure of Ti6AlPb.

SG: No. 38
crystal system: orthorhombic
ρ: 6.1 g cm⁻³
VASP energy: -7.000 eV/atom

Geometry as CIF:
```
data_Ti6AlPb
_chemical_formula_sum 'Ti6 Al1 Pb1'
_cell_length_a 4.7388
_cell_length_b 5.8630
_cell_length_c 5.8630
_cell_angle_alpha 60.11
_cell_angle_beta 90.00
_cell_angle_gamma 90.00
_symmetry_space_group_name_H-M 'P 1'
_symmetry_Int_Tables_number 1
_symmetry_space_group_name_Hall 'P 1'
loop_
_atom_site_label
_atom_site_fract_x
_atom_site_fract_y
_atom_site_fract_z
_atom_site_occupancy
Ti1 0.0000 0.0000 0.0000 1
Ti2 0.0000 0.0003 0.5110 1
Ti3 0.0000 0.5110 0.0003 1
Ti4 0.5000 0.1742 0.6696 1
Ti5 0.5000 0.6696 0.1742 1
Ti6 0.5000 0.6700 0.6700 1
Al1 0.0000 0.5042 0.5042 1
Pb1 0.5000 0.1709 0.1709 1
```


# 7
The following is a DFT calculation (GGA-PBE) of an optimized crystal structure of BaCuAu2.

SG: No. 10
crystal system: monoclinic
ρ: 8.9 g cm⁻³
energy relative to the lowest polymorph listed for this composition: 73 meV/atom
VASP energy: -3.513 eV/atom

Geometry as CIF:
```
data_BaCuAu2
_chemical_formula_sum 'Ba1 Cu1 Au2'
_cell_length_a 4.5051
_cell_length_b 4.4976
_cell_length_c 5.4667
_cell_angle_alpha 90.00
_cell_angle_beta 90.15
_cell_angle_gamma 90.00
_symmetry_space_group_name_H-M 'P 1'
_symmetry_Int_Tables_number 1
_symmetry_space_group_name_Hall 'P 1'
loop_
_atom_site_label
_atom_site_fract_x
_atom_site_fract_y
_atom_site_fract_z
_atom_site_occupancy
Ba1 0.0000 0.0000 0.0000 1
Cu1 0.5000 0.0000 0.5000 1
Au1 0.5003 0.5000 0.2501 1
Au2 0.4997 0.5000 0.7499 1
```


# 8
The following is a DFT calculation (GGA-PBE) of an optimized crystal structure of HfGaAg.

SG: No. 11
crystal system: monoclinic
ρ: 10.7 g cm⁻³
VASP energy: -5.488 eV/atom

Geometry as CIF:
```
data_HfGaAg
_chemical_formula_sum 'Hf2 Ga2 Ag2'
_cell_length_a 4.4357
_cell_length_b 3.6750
_cell_length_c 7.1030
_cell_angle_alpha 90.00
_cell_angle_beta 108.13
_cell_angle_gamma 90.00
_symmetry_space_group_name_H-M 'P 1'
_symmetry_Int_Tables_number 1
_symmetry_space_group_name_Hall 'P 1'
loop_
_atom_site_label
_atom_site_fract_x
_atom_site_fract_y
_atom_site_fract_z
_atom_site_occupancy
Hf1 0.0873 0.2500 0.1757 1
Hf2 0.9127 0.7500 0.8243 1
Ga1 0.4243 0.2500 0.8486 1
Ga2 0.5757 0.7500 0.1514 1
Ag1 0.2664 0.7500 0.5330 1
Ag2 0.7336 0.2500 0.4670 1
```


> The highest VASP energy belongs to which entry?

Ba2ZnCdPt


> VASP energy of number 1 (Ac5PdSe4)?

-5.597 eV/atom


> Among the records above, which one has the highest VASP energy?

Ba2ZnCdPt